DFT (PBE) results for an optimized crystal structure of Ru2ClO8.

For the spin magnetization, the calculation gives 1.01 μB per formula unit. The value obtained for the electronic total energy is -5.89 eV per atom. The calculation puts the density of states at the Fermi level at 1.35 states/eV/f.u.

Lattice parameters (Å, degrees): 7.9116 8.8077 5.7178 61.87 90.00 116.69
Last column: magnetic moment on the atom in μB.
Fractional positions:
O  0.3583  0.3629  0.9316  0.04
O  0.0046  0.3629  0.9316  0.04
O  0.6369  0.2737  0.3256  -0.01
O  0.6417  0.6371  0.0684  0.04
O  0.9954  0.6371  0.0684  0.04
O  0.3631  0.7263  0.6744  -0.01
O  0.2461  0.4921  0.4398  0.00
O  0.7539  0.5079  0.5602  0.00
Ru  0.7567  0.5133  0.2563  -0.01
Ru  0.2433  0.4867  0.7437  -0.01
Cl  0.0000  0.0000  0.0000  0.62